9
Lattice="4.1619 -2.6907 0.0000 4.1619 2.6907 0.0000 -2.4458 0.0000 6.3672" Properties=species:S:1:pos:R:3 comment="LiAl2Zn6 PBE relaxed" density_g_cm3=5.3 crystal_system=monoclinic total_magnetization_mub_per_cell=0.0 relative_energy_ev_per_fu=0.25 pbc="T T T"
Li 0.0000 0.0000 0.0000
Al 0.4981 0.0000 5.8343
Al 5.3798 0.0000 0.5329
Zn 3.0511 1.3102 1.8636
Zn 0.8950 0.0000 2.9164
Zn 2.8269 1.3102 4.5036
Zn 3.0511 -1.3102 1.8636
Zn 4.9829 0.0000 3.4509
Zn 2.8269 -1.3102 4.5036